Entry 1:
# CdPt2Rh PBE optimized geometry
data_CdPt2Rh
_chemical_formula_sum 'Cd3 Pt6 Rh3'
_cell_length_a 2.8506
_cell_length_b 2.8506
_cell_length_c 27.6622
_cell_angle_alpha 90.00
_cell_angle_beta 90.00
_cell_angle_gamma 120.00
_space_group_name_H-M_alt 'R 3 m'
_space_group_IT_number 160
_space_group_name_Hall 'R 3 -2"'
loop_
_atom_site_label
_atom_site_type_symbol
_atom_site_fract_x
_atom_site_fract_y
_atom_site_fract_z
_atom_site_occupancy
Cd1 Cd 0.0000 0.0000 0.0000 1
Pt1 Pt 0.0000 0.0000 0.4194 1
Pt2 Pt 0.0000 0.0000 0.5806 1
Rh1 Rh 0.0000 0.0000 0.1670 1
# Fermi-level density of states (states/eV/cell): 14.0
# DFT formation energy (eV per atom): -0.03

---

Entry 2:
# Cd2PtRh PBE optimized geometry
data_Cd2PtRh
_chemical_formula_sum 'Cd2 Pt1 Rh1'
_cell_length_a 3.389
_cell_length_b 3.389
_cell_length_c 6.143
_cell_angle_alpha 90.00
_cell_angle_beta 90.00
_cell_angle_gamma 90.00
_space_group_name_H-M_alt 'P 4 m m'
_space_group_IT_number 99
_space_group_name_Hall 'P 4 -2'
loop_
_atom_site_label
_atom_site_type_symbol
_atom_site_fract_x
_atom_site_fract_y
_atom_site_fract_z
_atom_site_occupancy
Cd1 Cd 0.000 0.000 0.000 1
Cd2 Cd 0.500 0.500 0.292 1
Pt1 Pt 0.000 0.000 0.526 1
Rh1 Rh 0.500 0.500 0.770 1
# Fermi-level density of states (states/eV/cell): 4.7
# DFT formation energy (eV per atom): -0.02

---

Entry 3:
# CdPtRh2 PBE optimized geometry
data_CdPtRh2
_chemical_formula_sum 'Cd2 Pt2 Rh4'
_cell_length_a 2.832
_cell_length_b 4.802
_cell_length_c 9.401
_cell_angle_alpha 90.00
_cell_angle_beta 90.00
_cell_angle_gamma 90.00
_space_group_name_H-M_alt 'C m m m'
_space_group_IT_number 65
_space_group_name_Hall '-C 2 2'
loop_
_atom_site_label
_atom_site_type_symbol
_atom_site_fract_x
_atom_site_fract_y
_atom_site_fract_z
_atom_site_occupancy
Cd1 Cd 0.000 0.000 0.000 1
Pt1 Pt 0.000 0.000 0.500 1
Rh1 Rh 0.000 0.500 0.256 1
# Fermi-level density of states (states/eV/cell): 11.6
# DFT formation energy (eV per atom): 0.14

---

no.,E (eV/cell)
1,-61.39
2,-15.30
3,-42.21